A geometry-optimized CaY2FeSe structure. Source: the Alexandria database, functional PBE.

Formation energy from raw total energies (eV/atom): -0.140
Electronic total energy (eV/atom): -5.52

Lattice parameters (Å, degrees): 4.960 5.603 4.960 90.00 90.00 90.00
Last column: magnetic moment on the atom in μB.
Sites, in units of the cell vectors:
Y 0.000 0.000 0.500  0.06
Se 0.500 0.500 0.500  0.00
Y 0.500 0.000 0.000  0.03
Ca 0.000 0.500 0.000  0.02
Fe 0.000 0.000 0.000  -0.59